1.
Below is crystalline MgSiSbO6 at its relaxed geometry, with properties calculated at the GGA-PBE level.

Output
Energy, eV per cell: -116.64

CIF file:
```
data_MgSiSbO6
_chemical_formula_sum 'Mg2 Si2 Sb2 O12'
_symmetry_space_group_name_H-M 'P -3 1 c'
_symmetry_Int_Tables_number 163
_symmetry_space_group_name_Hall '-P 3 2c'
_cell_length_a 4.9969
_cell_length_b 4.9969
_cell_length_c 8.8612
_cell_angle_alpha 90.00
_cell_angle_beta 90.00
_cell_angle_gamma 120.00
loop_
_atom_site_label
_atom_site_type_symbol
_atom_site_fract_x
_atom_site_fract_y
_atom_site_fract_z
Mg1 Mg 0.0000 0.0000 0.0000
Si1 Si 0.3333 0.6667 0.2500
Sb1 Sb 0.3333 0.6667 0.7500
O1 O 0.0309 0.3703 0.1358
```

=====

2.
Below is crystalline SrMgSb2O8 at its relaxed geometry, with properties calculated at the GGA-PBE level.

Output
Energy, eV per cell: -68.19

CIF file:
```
data_SrMgSb2O8
_chemical_formula_sum 'Sr1 Mg1 Sb2 O8'
_symmetry_space_group_name_H-M 'P -3'
_symmetry_Int_Tables_number 147
_cell_length_a 5.4208
_cell_length_b 5.4208
_cell_length_c 6.3956
_cell_angle_alpha 90.00
_cell_angle_beta 90.00
_cell_angle_gamma 120.00
loop_
_symmetry_equiv_pos_as_xyz
'x,y,z'
'-x,-y,-z'
'-y,x-y,z'
'y,-x+y,-z'
'-x+y,-x,z'
'x-y,x,-z'
loop_
_atom_site_label
_atom_site_type_symbol
_atom_site_fract_x
_atom_site_fract_y
_atom_site_fract_z
Sr1 Sr 0.0000 0.0000 0.0000
Mg1 Mg 0.0000 0.0000 0.5000
Sb1 Sb 0.3333 0.6667 0.4315
O1 O 0.0474 0.3565 0.6462
O2 O 0.3333 0.6667 0.1128
```